Entry 1:
Density functional theory data (GGA-PBE) for a geometry-optimized TbZn11Pd structure.

Structure (POSCAR):
```
TbZn11Pd
1.0
2.613 -6.304 0.000
2.613 6.304 0.000
-2.534 0.000 6.284
Tb Zn Pd
1 11 1
Direct
0.000 0.000 0.000 Tb
0.000 0.500 0.000 Zn
0.009 0.657 0.647 Zn
0.285 0.504 0.785 Zn
0.343 0.991 0.353 Zn
0.496 0.715 0.215 Zn
0.500 0.000 0.000 Zn
0.500 0.500 0.500 Zn
0.504 0.285 0.785 Zn
0.657 0.009 0.647 Zn
0.715 0.496 0.215 Zn
0.991 0.343 0.353 Zn
0.000 0.000 0.500 Pd
```

- ΔE_f: -0.26 eV/atom
- Symmetry: C2/m
- Crystal system: monoclinic

Entry 2:
Density functional theory data (GGA-PBE) for a geometry-optimized Ta2CuCl structure.

Structure (POSCAR):
```
Ta2CuCl
1.0
4.748 0.000 0.000
0.000 2.869 0.000
-2.214 0.000 4.853
Ta Cu Cl
2 1 1
Direct
0.000 0.000 0.000 Ta
0.000 0.500 0.500 Ta
0.500 0.000 0.500 Cu
0.500 0.500 0.000 Cl
```

- Offset from the most stable computed form: 0.465 eV/atom
- Formation energy (no corrections): 466 meV per atom
- Symmetry: P2/m
- Crystal system: monoclinic

Entry 3:
Density functional theory data (GGA-PBE) for a geometry-optimized TcOsBr2 structure.

Structure (POSCAR):
```
TcOsBr2
1.0
1.479 -2.746 0.000
1.479 2.746 0.000
0.000 0.000 8.859
Tc Os Br
1 1 2
Direct
0.000 0.000 0.000 Tc
0.000 0.000 0.500 Os
0.500 0.500 0.249 Br
0.500 0.500 0.751 Br
```

- Offset from the most stable computed form: 1.059 eV/atom
- Formation energy (no corrections): 1339 meV per atom
- Symmetry: Cmmm
- Crystal system: orthorhombic

Entry 4:
Density functional theory data (GGA-PBE) for a geometry-optimized TaNiPt4 structure.

Structure (POSCAR):
```
TaNiPt4
1.0
2.657 -3.688 0.000
2.657 3.688 0.000
-2.614 0.000 4.856
Ta Ni Pt
1 1 4
Direct
0.000 0.000 0.000 Ta
0.500 0.500 0.500 Ni
0.054 0.434 0.745 Pt
0.434 0.054 0.745 Pt
0.566 0.946 0.255 Pt
0.946 0.566 0.255 Pt
```

- Offset from the most stable computed form: 0.004 eV/atom
- ΔE_f: -0.33 eV/atom
- Symmetry: C2/m
- Crystal system: monoclinic

Entry 5:
Density functional theory data (GGA-PBE) for a geometry-optimized AcSmI2 structure.

Structure (POSCAR):
```
AcSmI2
1.0
1.982 1.145 10.174
-1.982 1.145 10.174
0.000 -2.289 10.174
Ac Sm I
1 1 2
Direct
0.000 0.000 0.000 Ac
0.163 0.163 0.163 Sm
0.574 0.574 0.574 I
0.754 0.754 0.754 I
```

- Offset from the most stable computed form: 0.000 eV/atom
- Formation energy (no corrections): -857 meV per atom
- Symmetry: R3m
- Crystal system: trigonal

Entry 6:
Density functional theory data (GGA-PBE) for a geometry-optimized KS4F structure.

Structure (POSCAR):
```
KS4F
1.0
5.567 -4.712 0.000
5.567 4.712 0.000
-4.318 0.000 6.307
K S F
2 8 2
Direct
0.098 0.902 0.750 K
0.902 0.098 0.250 K
0.280 0.463 0.497 S
0.307 0.519 0.071 S
0.463 0.280 0.997 S
0.481 0.693 0.429 S
0.519 0.307 0.571 S
0.537 0.720 0.003 S
0.693 0.481 0.929 S
0.720 0.537 0.503 S
0.156 0.844 0.250 F
0.844 0.156 0.750 F
```

- Formation energy (no corrections): -710 meV per atom
- Symmetry: C2/c
- Crystal system: monoclinic

Entry 7:
Density functional theory data (GGA-PBE) for a geometry-optimized Cs2HfCl7 structure.

Structure (POSCAR):
```
Cs2HfCl7
1.0
0.000 5.676 5.676
5.676 0.000 5.676
5.676 5.676 0.000
Cs Hf Cl
2 1 7
Direct
0.250 0.250 0.250 Cs
0.750 0.750 0.750 Cs
0.000 0.000 0.000 Hf
0.217 0.217 0.783 Cl
0.217 0.783 0.217 Cl
0.217 0.783 0.783 Cl
0.500 0.500 0.500 Cl
0.783 0.217 0.217 Cl
0.783 0.217 0.783 Cl
0.783 0.783 0.217 Cl
```

- Formation energy (no corrections): -1663 meV per atom
- Symmetry: Fm-3m
- Crystal system: cubic

Entry 8:
Density functional theory data (GGA-PBE) for a geometry-optimized BeRuPt structure.

Structure (POSCAR):
```
BeRuPt
1.0
0.000 2.726 2.726
2.726 0.000 2.726
2.726 2.726 0.000
Be Ru Pt
1 1 1
Direct
0.000 0.000 0.000 Be
0.250 0.250 0.250 Ru
0.750 0.750 0.750 Pt
```

- Offset from the most stable computed form: 0.284 eV/atom
- ΔE_f: 0.00 eV/atom
- Symmetry: F-43m
- Crystal system: cubic